LiPuCrF6 GGA+U relaxed; M_tot = 5.00 μB/f.u.; total energy = -6.6297 eV per atom; calculated density = 5.62 g cm⁻³; V = 246 Å³ per cell
1.0
-1.673 -2.341 4.785
5.034 -1.211 -2.090
3.610 6.953 4.665
F Cr Pu Li
12 2 2 2
Cartesian
1.850 3.528 4.480
4.435 1.937 4.851
4.860 3.001 7.330
5.121 -0.127 2.879
2.192 1.715 6.918
2.149 4.416 7.320
2.111 0.400 0.029
2.536 1.464 2.508
4.137 4.906 5.049
4.822 -1.015 0.039
4.779 1.686 0.441
2.834 -1.505 2.310
0.000 0.000 0.000
1.805 3.477 2.332
1.465 -0.226 3.659
5.506 3.627 3.700
3.701 0.150 1.367
3.270 3.251 5.991